# FePAuO2 (GGA+U, relaxed)
# Calculated density   7.0 Mg/m³
# DFT total energy   -4.947 eV/atom
# Magnetic moment   3.80 μB/cell
data_FePAuO2
_chemical_formula_sum 'Fe1 P1 Au1 O2'
_cell_length_a 3.650
_cell_length_b 3.650
_cell_length_c 5.599
_cell_angle_alpha 90.00
_cell_angle_beta 90.00
_cell_angle_gamma 90.00
_space_group_name_H-M_alt 'P 4/m m m'
_space_group_IT_number 123
_space_group_name_Hall '-P 4 2'
loop_
_atom_site_label
_atom_site_type_symbol
_atom_site_fract_x
_atom_site_fract_y
_atom_site_fract_z
Fe1 Fe 0.000 0.000 0.000
P1 P 0.000 0.000 0.500
Au1 Au 0.500 0.500 0.500
O1 O 0.000 0.500 0.000


# FePAu2O (GGA+U, relaxed)
# Calculated density   9.7 Mg/m³
# DFT total energy   -4.071 eV/atom
# Magnetic moment   4.26 μB/cell
data_FePAu2O
_chemical_formula_sum 'Fe1 P1 Au2 O1'
_cell_length_a 4.822
_cell_length_b 4.822
_cell_length_c 3.674
_cell_angle_alpha 90.00
_cell_angle_beta 90.00
_cell_angle_gamma 90.00
_space_group_name_H-M_alt 'P 4/m m m'
_space_group_IT_number 123
_space_group_name_Hall '-P 4 2'
loop_
_atom_site_label
_atom_site_type_symbol
_atom_site_fract_x
_atom_site_fract_y
_atom_site_fract_z
Fe1 Fe 0.000 0.000 0.000
P1 P 0.500 0.500 0.000
Au1 Au 0.000 0.500 0.500
O1 O 0.000 0.000 0.500


# PaFe2AuO8 (GGA+U, relaxed)
# Calculated density   7.0 Mg/m³
# DFT total energy   -6.542 eV/atom
# Magnetic moment   8.01 μB/cell
data_PaFe2AuO8
_chemical_formula_sum 'Pa2 Fe4 Au2 O16'
_cell_length_a 6.775
_cell_length_b 6.775
_cell_length_c 6.891
_cell_angle_alpha 90.00
_cell_angle_beta 90.00
_cell_angle_gamma 90.00
_space_group_name_H-M_alt 'I -4 m 2'
_space_group_IT_number 119
_space_group_name_Hall 'I -4 -2'
loop_
_atom_site_label
_atom_site_type_symbol
_atom_site_fract_x
_atom_site_fract_y
_atom_site_fract_z
Pa1 Pa 0.000 0.000 0.000
Fe1 Fe 0.000 0.000 0.500
Fe2 Fe 0.000 0.500 0.250
Au1 Au 0.000 0.500 0.750
O1 O 0.000 0.193 0.712
O2 O 0.000 0.309 0.094


# PaFeAu2O8 (GGA+U, relaxed)
# Calculated density   8.1 Mg/m³
# DFT total energy   -6.058 eV/atom
# Magnetic moment   8.31 μB/cell
data_PaFeAu2O8
_chemical_formula_sum 'Pa2 Fe2 Au4 O16'
_cell_length_a 6.870
_cell_length_b 6.870
_cell_length_c 7.001
_cell_angle_alpha 90.00
_cell_angle_beta 90.00
_cell_angle_gamma 90.00
_space_group_name_H-M_alt 'I -4 m 2'
_space_group_IT_number 119
_space_group_name_Hall 'I -4 -2'
loop_
_atom_site_label
_atom_site_type_symbol
_atom_site_fract_x
_atom_site_fract_y
_atom_site_fract_z
Pa1 Pa 0.000 0.000 0.000
Fe1 Fe 0.000 0.500 0.250
Au1 Au 0.000 0.000 0.500
Au2 Au 0.000 0.500 0.750
O1 O 0.000 0.190 0.273
O2 O 0.000 0.326 0.987


# PaFeAuO6 (GGA+U, relaxed)
# Calculated density   8.0 Mg/m³
# DFT total energy   -7.025 eV/atom
# Magnetic moment   8.17 μB/cell
data_PaFeAuO6
_chemical_formula_sum 'Pa2 Fe2 Au2 O12'
_cell_length_a 5.008
_cell_length_b 5.008
_cell_length_c 9.585
_cell_angle_alpha 90.00
_cell_angle_beta 90.00
_cell_angle_gamma 90.00
_space_group_name_H-M_alt 'P 42 n m'
_space_group_IT_number 102
loop_
_space_group_symop_operation_xyz
'x,y,z'
'-y+1/2,x+1/2,z+1/2'
'-x,-y,z'
'y+1/2,-x+1/2,z+1/2'
'-x+1/2,y+1/2,z+1/2'
'y,x,z'
'x+1/2,-y+1/2,z+1/2'
'-y,-x,z'
loop_
_atom_site_label
_atom_site_type_symbol
_atom_site_fract_x
_atom_site_fract_y
_atom_site_fract_z
Pa1 Pa 0.000 0.000 0.000
Fe1 Fe 0.000 0.000 0.668
Au1 Au 0.000 0.000 0.335
O1 O 0.181 0.181 0.503
O2 O 0.182 0.182 0.823
O3 O 0.198 0.198 0.172


# Pm2FeAuO6 (GGA+U, relaxed)
# Calculated density   7.3 Mg/m³
# DFT total energy   -6.656 eV/atom
# Magnetic moment   4.19 μB/cell
data_Pm2FeAuO6
_chemical_formula_sum 'Pm2 Fe1 Au1 O6'
_cell_length_a 5.383
_cell_length_b 5.383
_cell_length_c 5.033
_cell_angle_alpha 90.00
_cell_angle_beta 90.00
_cell_angle_gamma 90.00
_space_group_name_H-M_alt 'P 4 m m'
_space_group_IT_number 99
loop_
_space_group_symop_operation_xyz
'x,y,z'
'-y,x,z'
'-x,-y,z'
'y,-x,z'
'-x,y,z'
'y,x,z'
'x,-y,z'
'-y,-x,z'
loop_
_atom_site_label
_atom_site_type_symbol
_atom_site_fract_x
_atom_site_fract_y
_atom_site_fract_z
Pm1 Pm 0.000 0.500 0.000
Fe1 Fe 0.000 0.000 0.555
Au1 Au 0.500 0.500 0.625
O1 O 0.000 0.000 0.182
O2 O 0.236 0.236 0.715
O3 O 0.500 0.500 0.137


# FePt2AuO (GGA+U, relaxed)
# Calculated density   11.2 Mg/m³
# DFT total energy   -4.027 eV/atom
# Magnetic moment   4.35 μB/cell
data_FePt2AuO
_chemical_formula_sum 'Fe1 Pt2 Au1 O1'
_cell_length_a 5.076
_cell_length_b 5.076
_cell_length_c 3.779
_cell_angle_alpha 90.00
_cell_angle_beta 90.00
_cell_angle_gamma 90.00
_space_group_name_H-M_alt 'P 4/m m m'
_space_group_IT_number 123
_space_group_name_Hall '-P 4 2'
loop_
_atom_site_label
_atom_site_type_symbol
_atom_site_fract_x
_atom_site_fract_y
_atom_site_fract_z
Fe1 Fe 0.000 0.000 0.000
Pt1 Pt 0.000 0.500 0.500
Au1 Au 0.500 0.500 0.500
O1 O 0.500 0.500 0.000


# PuFeAuO6 (GGA+U, relaxed)
# Calculated density   8.5 Mg/m³
# DFT total energy   -7.265 eV/atom
# Magnetic moment   9.94 μB/cell
data_PuFeAuO6
_chemical_formula_sum 'Pu2 Fe2 Au2 O12'
_cell_length_a 5.3566
_cell_length_b 5.3566
_cell_length_c 9.3751
_cell_angle_alpha 90.00
_cell_angle_beta 90.00
_cell_angle_gamma 120.00
_space_group_name_H-M_alt 'P -3 1 c'
_space_group_IT_number 163
_space_group_name_Hall '-P 3 2c'
loop_
_atom_site_label
_atom_site_type_symbol
_atom_site_fract_x
_atom_site_fract_y
_atom_site_fract_z
Pu1 Pu 0.3333 0.6667 0.2500
Fe1 Fe 0.3333 0.6667 0.7500
Au1 Au 0.0000 0.0000 0.0000
O1 O 0.0010 0.3556 0.6357